# Be2CoAu

A relaxed structure of Be2CoAu (GGA-PBE, the Alexandria database).

Its total energy is -4.476 eV per atom. The formation energy comes out at -0.0167 eV/atom.

The structure belongs to space group Imm2 (No. 44); the cell edges are 2.8580, 3.8069 and 8.1821 Å and the angles 90.00°, 90.00° and 90.00°. The distinct sites, in fractional coordinates, are Be at (0.0000, 0.0000, 0.0000), Be at (0.0000, 0.5000, 0.2542), Co at (0.0000, 0.5000, 0.7269) and Au at (0.0000, 0.0000, 0.4986).

# Pr2P4Pd3Pt

A relaxed structure of Pr2P4Pd3Pt (GGA-PBE, the Alexandria database).

Its total energy is -6.218 eV per atom. The formation energy comes out at -0.9365 eV/atom.

The structure belongs to space group P-4m2 (No. 115); the cell edges are 4.3305, 4.3305 and 9.5614 Å and the angles 90.00°, 90.00° and 90.00°. The distinct sites, in fractional coordinates, are Pr at (0.0000, 0.5000, 0.2440), P at (0.0000, 0.0000, 0.0000), P at (0.0000, 0.5000, 0.6309), P at (0.5000, 0.5000, 0.0000), Pd at (0.0000, 0.5000, 0.8838), Pd at (0.5000, 0.5000, 0.5000) and Pt at (0.0000, 0.0000, 0.5000).

# SrHf2CuN4

A relaxed structure of SrHf2CuN4 (GGA-PBE, the Alexandria database).

Its total energy is -8.469 eV per atom.

The structure belongs to space group Cmcm (No. 63); the cell edges are 3.2988, 11.0890 and 11.2891 Å and the angles 90.00°, 90.00° and 90.00°. The distinct sites, in fractional coordinates, are Sr at (0.0000, 0.1059, 0.2500), Hf at (0.0000, 0.3661, 0.0527), Cu at (0.0000, 0.1623, 0.7500), N at (0.0000, 0.0000, 0.0000), N at (0.0000, 0.2593, 0.6032) and N at (0.0000, 0.4291, 0.2500).

# Mo3Pd

A relaxed structure of Mo3Pd (GGA-PBE, the Alexandria database).

Its total energy is -9.272 eV per atom. The formation energy comes out at 0.1496 eV/atom.

The structure belongs to space group I4/mmm (No. 139); the cell edges are 4.0087, 4.0087 and 7.7855 Å and the angles 90.00°, 90.00° and 90.00°. The distinct sites, in fractional coordinates, are Mo at (0.0000, 0.0000, 0.0000), Mo at (0.0000, 0.5000, 0.2500) and Pd at (0.0000, 0.0000, 0.5000).

# CrCu2Rh

A relaxed structure of CrCu2Rh (GGA-PBE, the Alexandria database).

Its total energy is -6.149 eV per atom. The formation energy comes out at 0.1432 eV/atom.

The structure belongs to space group C2/m (No. 12); the cell edges are 8.8875, 2.7607 and 4.3849 Å and the angles 90.00°, 102.33° and 90.00°. The distinct sites, in fractional coordinates, are Cr at (0.0000, 0.0000, 0.0000), Cu at (0.2504, 0.0000, 0.7509) and Rh at (0.0000, 0.5000, 0.5000).

# PuSc2S

A relaxed structure of PuSc2S (GGA-PBE, the Alexandria database).

Its total energy is -8.593 eV per atom. As for the excess energy over the best structure of this formula in the dataset: 0.000 eV per atom.

The structure belongs to space group R3m (No. 160, hexagonal axes); the cell edges are 3.4613, 3.4613 and 26.0915 Å and the angles 90.00°, 90.00° and 120.00°. The distinct sites, in fractional coordinates, are Pu at (0.0000, 0.0000, 0.0000), Sc at (0.0000, 0.0000, 0.5610), Sc at (0.0000, 0.0000, 0.7719) and S at (0.0000, 0.0000, 0.1665).